This record from OQMD describes Si2GePd2 after structural relaxation. The functional is PBE-GGA.

Summary:
space-group type = P-3m1, No. 164
E_tot = -26.6 eV per cell

CIF file:
```
data_Si2GePd2
_chemical_formula_sum 'Si2 Ge1 Pd2'
_space_group_name_H-M_alt 'P 1'
_space_group_IT_number 1
_space_group_name_Hall 'P 1'
_cell_length_a 4.0468
_cell_length_b 4.0468
_cell_length_c 5.9793
_cell_angle_alpha 90.00
_cell_angle_beta 90.00
_cell_angle_gamma 120.00
loop_
_atom_site_label
_atom_site_type_symbol
_atom_site_fract_x
_atom_site_fract_y
_atom_site_fract_z
Si1 Si 0.3333 0.6667 0.1267
Si2 Si 0.6667 0.3333 0.8733
Ge1 Ge 0.0000 0.0000 0.5000
Pd1 Pd 0.3333 0.6667 0.7180
Pd2 Pd 0.6667 0.3333 0.2820
```

This record from OQMD describes LuBeGaNi after structural relaxation. The functional is PBE-GGA.

Summary:
distance to the lowest polymorph of the same formula = 0 meV per atom
space-group type = F-43m, No. 216

CIF file:
```
data_LuBeGaNi
_chemical_formula_sum 'Lu1 Be1 Ga1 Ni1'
_space_group_name_H-M_alt 'P 1'
_space_group_IT_number 1
_space_group_name_Hall 'P 1'
_cell_length_a 4.3575
_cell_length_b 4.3575
_cell_length_c 4.3575
_cell_angle_alpha 60.00
_cell_angle_beta 60.00
_cell_angle_gamma 60.00
loop_
_atom_site_label
_atom_site_type_symbol
_atom_site_fract_x
_atom_site_fract_y
_atom_site_fract_z
Lu1 Lu 0.0000 0.0000 0.0000
Be1 Be 0.2500 0.2500 0.2500
Ga1 Ga 0.5000 0.5000 0.5000
Ni1 Ni 0.7500 0.7500 0.7500
```